Entry 1:
! TaBeZn GGA-PBE optimized geometry; values from VASP
&SYSTEM
  ibrav = 0, nat = 3, ntyp = 3
/
ATOMIC_SPECIES
Be 9.01 Be.upf
Zn 65.41 Zn.upf
Ta 180.95 Ta.upf
CELL_PARAMETERS angstrom
3.9518 0.0000 0.0000
-1.9759 3.4224 0.0000
0.0000 0.0000 3.0054
ATOMIC_POSITIONS crystal
Be 0.0000 0.0000 0.8336
Zn 0.6667 0.3333 0.8331
Ta 0.3333 0.6667 0.3332
! formation energy from the elements = -0.006 eV per atom
! energy above the lowest structure with this stoichiometry = 0.105 eV/atom
! SG = P-6m2 (187)
! raw total energy = -5.624 eV per atom
! M_tot = 0.000 μB per cell

***

Entry 2:
! Ta4BeZn GGA-PBE optimized geometry; values from VASP
&SYSTEM
  ibrav = 0, nat = 12, ntyp = 3
/
ATOMIC_SPECIES
Ta 180.95 Ta.upf
Be 9.01 Be.upf
Zn 65.41 Zn.upf
CELL_PARAMETERS angstrom
-3.7025 0.8405 -3.2563
3.9959 -0.5145 -4.6762
-1.1208 -6.0629 -0.2906
ATOMIC_POSITIONS crystal
Ta 0.0000 0.1747 0.6403
Ta 0.0000 0.8253 0.3597
Ta 0.0000 0.3597 0.1747
Ta 0.0000 0.6403 0.8253
Ta 0.5000 0.8253 0.6403
Ta 0.5000 0.1747 0.3597
Ta 0.5000 0.6403 0.1747
Ta 0.5000 0.3597 0.8253
Be 0.2500 0.5000 0.5000
Be 0.7500 0.5000 0.5000
Zn 0.2500 0.0000 0.0000
Zn 0.7500 0.0000 0.0000
! formation energy from the elements = -0.100 eV per atom
! energy above the lowest structure with this stoichiometry = 0.000 eV/atom
! SG = P4/mcc (124)
! raw total energy = -8.835 eV per atom
! M_tot = 0.000 μB per cell

***

Entry 3:
! TaBeZn2 GGA-PBE optimized geometry; values from VASP
&SYSTEM
  ibrav = 0, nat = 4, ntyp = 3
/
ATOMIC_SPECIES
Be 9.01 Be.upf
Zn 65.41 Zn.upf
Ta 180.95 Ta.upf
CELL_PARAMETERS angstrom
-0.1713 -2.0239 1.9772
2.8275 -0.0524 0.1924
-0.2400 4.7227 4.8135
ATOMIC_POSITIONS crystal
Be 0.5000 0.5000 0.2500
Zn 0.0000 0.0000 0.0462
Zn 0.0000 0.0000 0.4538
Ta 0.5000 0.5000 0.7500
! formation energy from the elements = 0.053 eV per atom
! SG = P4/mmm (123)
! raw total energy = -4.479 eV per atom
! M_tot = 0.000 μB per cell

***

Entry 4:
! TaBeZn GGA-PBE optimized geometry; values from VASP
&SYSTEM
  ibrav = 0, nat = 3, ntyp = 3
/
ATOMIC_SPECIES
Be 9.01 Be.upf
Zn 65.41 Zn.upf
Ta 180.95 Ta.upf
CELL_PARAMETERS angstrom
4.1696 0.0000 0.0000
2.0848 3.6110 0.0000
2.0848 1.2037 3.4045
ATOMIC_POSITIONS crystal
Be 0.5000 0.5000 0.5000
Zn 0.0000 0.0000 0.0000
Ta 0.7500 0.7500 0.7500
! formation energy from the elements = 0.950 eV per atom
! energy above the lowest structure with this stoichiometry = 1.061 eV/atom
! SG = F-43m (216)
! raw total energy = -4.667 eV per atom
! M_tot = 0.000 μB per cell